[1]
A geometry-optimized LuSc2Co structure. Source: the Alexandria database, functional PBE.

The structure belongs to space group P4/mmm (No. 123); the cell edges are 3.1916, 3.1916 and 8.3248 Å and the angles 90.00°, 90.00° and 90.00°. Symmetry generates all atoms from Lu at (0.0000, 0.0000, 0.0000), Sc at (0.5000, 0.5000, 0.3188) and Co at (0.0000, 0.0000, 0.5000).

The value obtained for the energy relative to the lowest polymorph listed for this composition is 0.00 eV/f.u. As for the spin magnetization: 0.51 μB/cell. The value obtained for the formation energy is -127 meV/atom.

[2]
A geometry-optimized LuScCo2 structure. Source: the Alexandria database, functional PBE.

The structure belongs to space group P4/mmm (No. 123); the cell edges are 3.1919, 3.1919 and 6.3800 Å and the angles 90.00°, 90.00° and 90.00°. Symmetry generates all atoms from Lu at (0.0000, 0.0000, 0.0000), Sc at (0.0000, 0.0000, 0.5000) and Co at (0.5000, 0.5000, 0.2621).

The value obtained for the energy relative to the lowest polymorph listed for this composition is 0.00 eV/f.u. As for the spin magnetization: 0.49 μB/cell. The value obtained for the formation energy is -299 meV/atom.

Repeat the second record exactly.
A geometry-optimized LuScCo2 structure. Source: the Alexandria database, functional PBE.

The structure belongs to space group P4/mmm (No. 123); the cell edges are 3.1919, 3.1919 and 6.3800 Å and the angles 90.00°, 90.00° and 90.00°. Symmetry generates all atoms from Lu at (0.0000, 0.0000, 0.0000), Sc at (0.0000, 0.0000, 0.5000) and Co at (0.5000, 0.5000, 0.2621).

The value obtained for the energy relative to the lowest polymorph listed for this composition is 0.00 eV/f.u. As for the spin magnetization: 0.49 μB/cell. The value obtained for the formation energy is -299 meV/atom.